1.
## SiRu2W (GGA-PBE)

Data for a relaxed structure of SiRu2W.

Summary:
Spin magnetization, μB/f.u.: 0.0
Raw formation energy, meV/atom: -176
Final energy, eV per atom: -9.41

Geometry as CIF:
```
data_SiRu2W
_chemical_formula_sum 'Si2 Ru4 W2'
_space_group_name_H-M_alt 'I 4/m m m'
_space_group_IT_number 139
_space_group_name_Hall '-I 4 2'
_cell_length_a 4.012
_cell_length_b 4.012
_cell_length_c 7.015
_cell_angle_alpha 90.00
_cell_angle_beta 90.00
_cell_angle_gamma 90.00
loop_
_atom_site_label
_atom_site_type_symbol
_atom_site_fract_x
_atom_site_fract_y
_atom_site_fract_z
_atom_site_occupancy
Si1 Si 0.000 0.000 0.000 1
Ru1 Ru 0.000 0.500 0.250 1
W1 W 0.000 0.000 0.500 1
```

2.
## TaMo2Cl (GGA-PBE)

Data for a relaxed structure of TaMo2Cl.

Summary:
Spin magnetization, μB/f.u.: 0.0
Raw formation energy, meV/atom: 886
Final energy, eV per atom: -7.95

Geometry as CIF:
```
data_TaMo2Cl
_chemical_formula_sum 'Ta4 Mo8 Cl4'
_space_group_name_H-M_alt 'I -4 2 d'
_space_group_IT_number 122
_space_group_name_Hall 'I -4 2bw'
_cell_length_a 7.212
_cell_length_b 7.212
_cell_length_c 5.204
_cell_angle_alpha 90.00
_cell_angle_beta 90.00
_cell_angle_gamma 90.00
loop_
_atom_site_label
_atom_site_type_symbol
_atom_site_fract_x
_atom_site_fract_y
_atom_site_fract_z
_atom_site_occupancy
Ta1 Ta 0.000 0.000 0.000 1
Mo1 Mo 0.174 0.250 0.625 1
Cl1 Cl 0.000 0.000 0.500 1
```

3.
## KCd2FeSb (GGA-PBE)

Data for a relaxed structure of KCd2FeSb.

Summary:
Spin magnetization, μB/f.u.: 0.0
Raw formation energy, meV/atom: 41
Final energy, eV per atom: -3.06

Geometry as CIF:
```
data_KCd2FeSb
_chemical_formula_sum 'K1 Cd2 Fe1 Sb1'
_space_group_name_H-M_alt 'P 4/m m m'
_space_group_IT_number 123
_space_group_name_Hall '-P 4 2'
_cell_length_a 5.214
_cell_length_b 5.214
_cell_length_c 4.792
_cell_angle_alpha 90.00
_cell_angle_beta 90.00
_cell_angle_gamma 90.00
loop_
_atom_site_label
_atom_site_type_symbol
_atom_site_fract_x
_atom_site_fract_y
_atom_site_fract_z
_atom_site_occupancy
K1 K 0.000 0.000 0.000 1
Cd1 Cd 0.000 0.500 0.500 1
Fe1 Fe 0.500 0.500 0.500 1
Sb1 Sb 0.500 0.500 0.000 1
```

4.
## KPtN2O (GGA-PBE)

Data for a relaxed structure of KPtN2O.

Summary:
Spin magnetization, μB/f.u.: 0.0
Raw formation energy, meV/atom: 712
Final energy, eV per atom: -5.04

Geometry as CIF:
```
data_KPtN2O
_chemical_formula_sum 'K1 Pt1 N2 O1'
_space_group_name_H-M_alt 'P 4/m m m'
_space_group_IT_number 123
_space_group_name_Hall '-P 4 2'
_cell_length_a 3.846
_cell_length_b 3.846
_cell_length_c 4.633
_cell_angle_alpha 90.00
_cell_angle_beta 90.00
_cell_angle_gamma 90.00
loop_
_atom_site_label
_atom_site_type_symbol
_atom_site_fract_x
_atom_site_fract_y
_atom_site_fract_z
_atom_site_occupancy
K1 K 0.000 0.000 0.000 1
Pt1 Pt 0.500 0.500 0.500 1
N1 N 0.000 0.500 0.500 1
O1 O 0.500 0.500 0.000 1
```

5.
## Na2H2Pd5 (GGA-PBE)

Data for a relaxed structure of Na2H2Pd5.

Summary:
Spin magnetization, μB/f.u.: 0.0
Final energy, eV per atom: -4.04

Geometry as CIF:
```
data_Na2H2Pd5
_chemical_formula_sum 'Na2 H2 Pd5'
_space_group_name_H-M_alt 'P -1'
_space_group_IT_number 2
_cell_length_a 4.860
_cell_length_b 5.128
_cell_length_c 5.170
_cell_angle_alpha 96.33
_cell_angle_beta 104.65
_cell_angle_gamma 95.62
loop_
_space_group_symop_operation_xyz
'x,y,z'
'-x,-y,-z'
loop_
_atom_site_label
_atom_site_type_symbol
_atom_site_fract_x
_atom_site_fract_y
_atom_site_fract_z
_atom_site_occupancy
Na1 Na 0.068 0.292 0.150 1
H1 H 0.187 0.112 0.719 1
Pd1 Pd 0.226 0.866 0.441 1
Pd2 Pd 0.371 0.430 0.716 1
Pd3 Pd 0.500 0.000 0.000 1
```

6.
## YCr3Re (GGA-PBE)

Data for a relaxed structure of YCr3Re.

Summary:
Energy of formation, eV per atom: 0.89
Spin magnetization, μB/f.u.: 7.1
Final energy, eV per atom: -8.67

Geometry as CIF:
```
data_YCr3Re
_chemical_formula_sum 'Y1 Cr3 Re1'
_space_group_name_H-M_alt 'P m -3 m'
_space_group_IT_number 221
_space_group_name_Hall '-P 4 2 3'
_cell_length_a 4.678
_cell_length_b 4.678
_cell_length_c 4.678
_cell_angle_alpha 90.00
_cell_angle_beta 90.00
_cell_angle_gamma 90.00
loop_
_atom_site_label
_atom_site_type_symbol
_atom_site_fract_x
_atom_site_fract_y
_atom_site_fract_z
_atom_site_occupancy
Y1 Y 0.000 0.000 0.000 1
Cr1 Cr 0.000 0.500 0.500 1
Re1 Re 0.500 0.500 0.500 1
```

7.
## CrIn2Ru (GGA-PBE)

Data for a relaxed structure of CrIn2Ru.

Summary:
Energy of formation, eV per atom: 0.35
Spin magnetization, μB/f.u.: 0.0
Final energy, eV per atom: -5.74

Geometry as CIF:
```
data_CrIn2Ru
_chemical_formula_sum 'Cr3 In6 Ru3'
_space_group_name_H-M_alt 'R 3 m'
_space_group_IT_number 160
_space_group_name_Hall 'R 3 -2"'
_cell_length_a 3.0178
_cell_length_b 3.0178
_cell_length_c 27.1404
_cell_angle_alpha 90.00
_cell_angle_beta 90.00
_cell_angle_gamma 120.00
loop_
_atom_site_label
_atom_site_type_symbol
_atom_site_fract_x
_atom_site_fract_y
_atom_site_fract_z
_atom_site_occupancy
Cr1 Cr 0.0000 0.0000 0.0000 1
In1 In 0.0000 0.0000 0.5171 1
In2 In 0.0000 0.0000 0.7504 1
Ru1 Ru 0.0000 0.0000 0.2697 1
```

8.
## Fe4Ni5Ir (GGA-PBE)

Data for a relaxed structure of Fe4Ni5Ir.

Summary:
Energy of formation, eV per atom: 0.22
Spin magnetization, μB/f.u.: 14.9
Final energy, eV per atom: -6.94

Geometry as CIF:
```
data_Fe4Ni5Ir
_chemical_formula_sum 'Fe8 Ni10 Ir2'
_space_group_name_H-M_alt 'C 1 2/m 1'
_space_group_IT_number 12
_cell_length_a 12.457
_cell_length_b 3.832
_cell_length_c 6.029
_cell_angle_alpha 90.00
_cell_angle_beta 118.51
_cell_angle_gamma 90.00
loop_
_space_group_symop_operation_xyz
'x,y,z'
'-x,-y,-z'
'-x,y,-z'
'x,-y,z'
'x+1/2,y+1/2,z'
'-x+1/2,-y+1/2,-z'
'-x+1/2,y+1/2,-z'
'x+1/2,-y+1/2,z'
loop_
_atom_site_label
_atom_site_type_symbol
_atom_site_fract_x
_atom_site_fract_y
_atom_site_fract_z
_atom_site_occupancy
Fe1 Fe 0.026 0.000 0.290 1
Fe2 Fe 0.182 0.500 0.439 1
Ni1 Ni 0.000 0.500 0.500 1
Ni2 Ni 0.170 0.000 0.123 1
Ni3 Ni 0.176 0.000 0.729 1
Ir1 Ir 0.000 0.500 0.000 1
```

9.
## Cs2UTe3O12 (GGA-PBE)

Data for a relaxed structure of Cs2UTe3O12.

Summary:
Spin magnetization, μB/f.u.: 0.0
Raw formation energy, meV/atom: -1663
Final energy, eV per atom: -6.21

Geometry as CIF:
```
data_Cs2UTe3O12
_chemical_formula_sum 'Cs6 U3 Te9 O36'
_space_group_name_H-M_alt 'R -3 m'
_space_group_IT_number 166
_space_group_name_Hall '-R 3 2"'
_cell_length_a 7.5265
_cell_length_b 7.5265
_cell_length_c 19.1856
_cell_angle_alpha 90.00
_cell_angle_beta 90.00
_cell_angle_gamma 120.00
loop_
_atom_site_label
_atom_site_type_symbol
_atom_site_fract_x
_atom_site_fract_y
_atom_site_fract_z
_atom_site_occupancy
Cs1 Cs 0.0000 0.0000 0.1197 1
U1 U 0.0000 0.0000 0.5000 1
Te1 Te 0.0000 0.5000 0.0000 1
O1 O 0.0732 0.5366 0.1027 1
O2 O 0.0753 0.5376 0.3529 1
```

10.
## KCa2P (GGA-PBE)

Data for a relaxed structure of KCa2P.

Summary:
Energy of formation, eV per atom: -0.62
Spin magnetization, μB/f.u.: 0.0
Final energy, eV per atom: -3.25

Geometry as CIF:
```
data_KCa2P
_chemical_formula_sum 'K2 Ca4 P2'
_space_group_name_H-M_alt 'C 1 2/m 1'
_space_group_IT_number 12
_cell_length_a 7.375
_cell_length_b 4.253
_cell_length_c 10.994
_cell_angle_alpha 90.00
_cell_angle_beta 102.36
_cell_angle_gamma 90.00
loop_
_space_group_symop_operation_xyz
'x,y,z'
'-x,-y,-z'
'-x,y,-z'
'x,-y,z'
'x+1/2,y+1/2,z'
'-x+1/2,-y+1/2,-z'
'-x+1/2,y+1/2,-z'
'x+1/2,-y+1/2,z'
loop_
_atom_site_label
_atom_site_type_symbol
_atom_site_fract_x
_atom_site_fract_y
_atom_site_fract_z
_atom_site_occupancy
K1 K 0.000 0.000 0.000 1
Ca1 Ca 0.210 0.000 0.634 1
P1 P 0.000 0.500 0.500 1
```

11.
## RbCaRh2 (GGA-PBE)

Data for a relaxed structure of RbCaRh2.

Summary:
Energy of formation, eV per atom: 0.62
Spin magnetization, μB/f.u.: 0.0
Final energy, eV per atom: -3.80

Geometry as CIF:
```
data_RbCaRh2
_chemical_formula_sum 'Rb4 Ca4 Rh8'
_space_group_name_H-M_alt 'F m -3 m'
_space_group_IT_number 225
_space_group_name_Hall '-F 4 2 3'
_cell_length_a 7.101
_cell_length_b 7.101
_cell_length_c 7.101
_cell_angle_alpha 90.00
_cell_angle_beta 90.00
_cell_angle_gamma 90.00
loop_
_atom_site_label
_atom_site_type_symbol
_atom_site_fract_x
_atom_site_fract_y
_atom_site_fract_z
_atom_site_occupancy
Rb1 Rb 0.000 0.000 0.000 1
Ca1 Ca 0.000 0.000 0.500 1
Rh1 Rh 0.250 0.250 0.250 1
```

12.
## Ba12Sb3As5 (GGA-PBE)

Data for a relaxed structure of Ba12Sb3As5.

Summary:
Spin magnetization, μB/f.u.: 0.0
Raw formation energy, meV/atom: -941
Final energy, eV per atom: -3.88

Geometry as CIF:
```
data_Ba12Sb3As5
_chemical_formula_sum 'Ba96 Sb24 As40'
_space_group_name_H-M_alt 'I a -3 d'
_space_group_IT_number 230
_space_group_name_Hall '-I 4bd 2c 3'
_cell_length_a 19.788
_cell_length_b 19.788
_cell_length_c 19.788
_cell_angle_alpha 90.00
_cell_angle_beta 90.00
_cell_angle_gamma 90.00
loop_
_atom_site_label
_atom_site_type_symbol
_atom_site_fract_x
_atom_site_fract_y
_atom_site_fract_z
_atom_site_occupancy
Ba1 Ba 0.023 0.062 0.652 1
Sb1 Sb 0.000 0.250 0.125 1
As1 As 0.000 0.000 0.000 1
As2 As 0.000 0.250 0.375 1
```

13.
## HfTiAu2 (GGA-PBE)

Data for a relaxed structure of HfTiAu2.

Summary:
Energy of formation, eV per atom: 0.38
Spin magnetization, μB/f.u.: 0.0
Final energy, eV per atom: -5.72

Geometry as CIF:
```
data_HfTiAu2
_chemical_formula_sum 'Hf2 Ti2 Au4'
_space_group_name_H-M_alt 'I m m m'
_space_group_IT_number 71
_space_group_name_Hall '-I 2 2'
_cell_length_a 2.910
_cell_length_b 4.922
_cell_length_c 11.211
_cell_angle_alpha 90.00
_cell_angle_beta 90.00
_cell_angle_gamma 90.00
loop_
_atom_site_label
_atom_site_type_symbol
_atom_site_fract_x
_atom_site_fract_y
_atom_site_fract_z
_atom_site_occupancy
Hf1 Hf 0.000 0.000 0.000 1
Ti1 Ti 0.000 0.000 0.500 1
Au1 Au 0.000 0.000 0.263 1
```

14.
## LiMgSb2Te (GGA-PBE)

Data for a relaxed structure of LiMgSb2Te.

Summary:
Spin magnetization, μB/f.u.: 0.0
Raw formation energy, meV/atom: 223
Final energy, eV per atom: -2.76

Geometry as CIF:
```
data_LiMgSb2Te
_chemical_formula_sum 'Li1 Mg1 Sb2 Te1'
_space_group_name_H-M_alt 'P 4/m m m'
_space_group_IT_number 123
_space_group_name_Hall '-P 4 2'
_cell_length_a 5.386
_cell_length_b 5.386
_cell_length_c 5.673
_cell_angle_alpha 90.00
_cell_angle_beta 90.00
_cell_angle_gamma 90.00
loop_
_atom_site_label
_atom_site_type_symbol
_atom_site_fract_x
_atom_site_fract_y
_atom_site_fract_z
_atom_site_occupancy
Li1 Li 0.000 0.000 0.000 1
Mg1 Mg 0.500 0.500 0.500 1
Sb1 Sb 0.000 0.500 0.500 1
Te1 Te 0.500 0.500 0.000 1
```

15.
## GePbCl2 (GGA-PBE)

Data for a relaxed structure of GePbCl2.

Summary:
Spin magnetization, μB/f.u.: 0.0
Raw formation energy, meV/atom: -332
Final energy, eV per atom: -3.34

Geometry as CIF:
```
data_GePbCl2
_chemical_formula_sum 'Ge4 Pb4 Cl8'
_space_group_name_H-M_alt 'I -4 2 d'
_space_group_IT_number 122
_space_group_name_Hall 'I -4 2bw'
_cell_length_a 8.024
_cell_length_b 8.024
_cell_length_c 6.511
_cell_angle_alpha 90.00
_cell_angle_beta 90.00
_cell_angle_gamma 90.00
loop_
_atom_site_label
_atom_site_type_symbol
_atom_site_fract_x
_atom_site_fract_y
_atom_site_fract_z
_atom_site_occupancy
Ge1 Ge 0.000 0.000 0.000 1
Pb1 Pb 0.000 0.000 0.500 1
Cl1 Cl 0.224 0.250 0.125 1
```

16.
## PSeF3 (GGA-PBE)

Data for a relaxed structure of PSeF3.

Summary:
Spin magnetization, μB/f.u.: 2.3
Raw formation energy, meV/atom: -183
Final energy, eV per atom: -3.08

Geometry as CIF:
```
data_PSeF3
_chemical_formula_sum 'P1 Se1 F3'
_space_group_name_H-M_alt 'P m -3 m'
_space_group_IT_number 221
_space_group_name_Hall '-P 4 2 3'
_cell_length_a 4.369
_cell_length_b 4.369
_cell_length_c 4.369
_cell_angle_alpha 90.00
_cell_angle_beta 90.00
_cell_angle_gamma 90.00
loop_
_atom_site_label
_atom_site_type_symbol
_atom_site_fract_x
_atom_site_fract_y
_atom_site_fract_z
_atom_site_occupancy
P1 P 0.000 0.000 0.000 1
Se1 Se 0.500 0.500 0.500 1
F1 F 0.000 0.500 0.500 1
```

17.
## Cs4Ce3PrS8 (GGA-PBE)

Data for a relaxed structure of Cs4Ce3PrS8.

Summary:
Spin magnetization, μB/f.u.: 3.0
Raw formation energy, meV/atom: -1763
Final energy, eV per atom: -5.45

Geometry as CIF:
```
data_Cs4Ce3PrS8
_chemical_formula_sum 'Cs12 Ce9 Pr3 S24'
_space_group_name_H-M_alt 'R -3 m'
_space_group_IT_number 166
_space_group_name_Hall '-R 3 2"'
_cell_length_a 8.5541
_cell_length_b 8.5541
_cell_length_c 24.2126
_cell_angle_alpha 90.00
_cell_angle_beta 90.00
_cell_angle_gamma 120.00
loop_
_atom_site_label
_atom_site_type_symbol
_atom_site_fract_x
_atom_site_fract_y
_atom_site_fract_z
_atom_site_occupancy
Cs1 Cs 0.0000 0.0000 0.0000 1
Cs2 Cs 0.0000 0.5000 0.0000 1
Ce1 Ce 0.0000 0.5000 0.5000 1
Pr1 Pr 0.0000 0.0000 0.5000 1
S1 S 0.0000 0.0000 0.2281 1
S2 S 0.0019 0.5010 0.7714 1
```

18.
## ZrSi (GGA-PBE)

Data for a relaxed structure of ZrSi.

Summary:
Spin magnetization, μB/f.u.: 0.0
Raw formation energy, meV/atom: -498
Final energy, eV per atom: -7.48

Geometry as CIF:
```
data_ZrSi
_chemical_formula_sum 'Zr2 Si2'
_space_group_name_H-M_alt 'P 4/n m m'
_space_group_IT_number 129
_cell_length_a 5.010
_cell_length_b 5.010
_cell_length_c 2.920
_cell_angle_alpha 90.00
_cell_angle_beta 90.00
_cell_angle_gamma 90.00
loop_
_space_group_symop_operation_xyz
'x,y,z'
'-x,-y,-z'
'-y+1/2,x,z'
'y+1/2,-x,-z'
'-x+1/2,-y+1/2,z'
'x+1/2,y+1/2,-z'
'y,-x+1/2,z'
'-y,x+1/2,-z'
'x+1/2,-y,-z'
'-x+1/2,y,z'
'-y,-x,-z'
'y,x,z'
'-x,y+1/2,-z'
'x,-y+1/2,z'
'y+1/2,x+1/2,-z'
'-y+1/2,-x+1/2,z'
loop_
_atom_site_label
_atom_site_type_symbol
_atom_site_fract_x
_atom_site_fract_y
_atom_site_fract_z
_atom_site_occupancy
Zr1 Zr 0.250 0.250 0.129 1
Si1 Si 0.250 0.750 0.500 1
```

19.
## SrZrCdB2 (GGA-PBE)

Data for a relaxed structure of SrZrCdB2.

Summary:
Energy of formation, eV per atom: 2.41
Spin magnetization, μB/f.u.: 1.5
Final energy, eV per atom: -2.49

Geometry as CIF:
```
data_SrZrCdB2
_chemical_formula_sum 'Sr1 Zr1 Cd1 B2'
_space_group_name_H-M_alt 'P 4/m m m'
_space_group_IT_number 123
_space_group_name_Hall '-P 4 2'
_cell_length_a 4.805
_cell_length_b 4.805
_cell_length_c 5.516
_cell_angle_alpha 90.00
_cell_angle_beta 90.00
_cell_angle_gamma 90.00
loop_
_atom_site_label
_atom_site_type_symbol
_atom_site_fract_x
_atom_site_fract_y
_atom_site_fract_z
_atom_site_occupancy
Sr1 Sr 0.000 0.000 0.000 1
Zr1 Zr 0.000 0.000 0.500 1
Cd1 Cd 0.500 0.500 0.500 1
B1 B 0.000 0.500 0.000 1
```

20.
## BaC2S2N2O2 (GGA-PBE)

Data for a relaxed structure of BaC2S2N2O2.

Summary:
Spin magnetization, μB/f.u.: 2.0
Raw formation energy, meV/atom: -315
Final energy, eV per atom: -6.45

Geometry as CIF:
```
data_BaC2S2N2O2
_chemical_formula_sum 'Ba4 C8 S8 N8 O8'
_space_group_name_H-M_alt 'C 1 2/m 1'
_space_group_IT_number 12
_cell_length_a 13.200
_cell_length_b 4.574
_cell_length_c 13.239
_cell_angle_alpha 90.00
_cell_angle_beta 94.35
_cell_angle_gamma 90.00
loop_
_space_group_symop_operation_xyz
'x,y,z'
'-x,-y,-z'
'-x,y,-z'
'x,-y,z'
'x+1/2,y+1/2,z'
'-x+1/2,-y+1/2,-z'
'-x+1/2,y+1/2,-z'
'x+1/2,-y+1/2,z'
loop_
_atom_site_label
_atom_site_type_symbol
_atom_site_fract_x
_atom_site_fract_y
_atom_site_fract_z
_atom_site_occupancy
Ba1 Ba 0.123 0.000 0.277 1
C1 C 0.071 0.500 0.841 1
C2 C 0.151 0.500 0.497 1
S1 S 0.147 0.500 0.618 1
S2 S 0.187 0.500 0.890 1
N1 N 0.016 0.500 0.192 1
N2 N 0.149 0.500 0.406 1
O1 O 0.003 0.000 0.547 1
O2 O 0.043 0.000 0.022 1
```